No. 1
! K2LiVS4 | Alexandria | PBE | relaxed; values from VASP
! **Crystal system**: monoclinic
! **E_tot**: -0.1795 Ha/atom
! **E above lowest polymorph**: 0.00 kJ/mol of atoms
&SYSTEM
  ibrav = 0, nat = 32, ntyp = 4
/
ATOMIC_SPECIES
K 39.10 K.upf
Li 6.94 Li.upf
V 50.94 V.upf
S 32.06 S.upf
CELL_PARAMETERS angstrom
5.361 -4.260 0.000
5.361 4.260 0.000
-1.399 0.000 18.091
ATOMIC_POSITIONS angstrom
K 0.000 0.000 0.000
K -0.700 0.000 9.045
K 4.311 2.731 13.568
K 3.838 0.182 1.298
K 3.138 -0.182 10.344
K 6.184 0.182 7.747
K 5.484 -0.182 16.792
K 5.011 -2.731 4.523
Li 3.399 2.164 5.142
Li 6.623 2.164 3.903
Li 2.699 -2.164 14.188
Li 5.924 -2.164 12.948
V 1.505 0.501 15.454
V 2.205 -0.501 6.408
V 7.118 0.501 11.682
V 7.817 -0.501 2.637
S 4.467 2.943 2.781
S 2.180 1.406 7.392
S 2.796 1.844 16.530
S 5.555 2.943 6.265
S 2.208 0.207 13.430
S 2.908 -0.207 4.385
S 5.827 1.844 10.606
S 1.481 -1.406 16.438
S 7.841 1.406 1.653
S 3.496 -1.844 7.485
S 6.414 0.207 13.706
S 7.114 -0.207 4.661
S 3.767 -2.943 11.826
S 6.526 -1.844 1.560
S 7.142 -1.406 10.698
S 4.855 -2.943 15.310



No. 2
! Tb8HgPt2 | Alexandria | PBE | relaxed; values from VASP
! **Crystal system**: monoclinic
! **E_tot**: -0.1827 Ha/atom
! **E_form**: -5.3 eV per formula unit
! **Fermi-level density of states**: 14.16 states/eV/cell
&SYSTEM
  ibrav = 0, nat = 11, ntyp = 3
/
ATOMIC_SPECIES
Tb 158.93 Tb.upf
Hg 200.59 Hg.upf
Pt 195.08 Pt.upf
CELL_PARAMETERS angstrom
4.318 -6.738 0.000
4.318 6.738 0.000
-1.474 0.000 5.356
ATOMIC_POSITIONS angstrom
Tb 0.000 0.000 0.000
Tb 0.659 1.693 3.266
Tb 3.052 3.239 1.023
Tb 0.659 -1.693 3.266
Tb 3.971 1.693 4.136
Tb 3.052 -3.239 1.023
Tb 3.971 -1.693 4.136
Tb 6.104 0.000 2.045
Hg 3.046 0.000 1.036
Pt 2.315 4.083 3.700
Pt 2.315 -4.083 3.700



No. 3
! TbPm3Rh2 | Alexandria | PBE | relaxed; values from VASP
! **Crystal system**: orthorhombic
! **E_tot**: -0.2238 Ha/atom
! **E_form**: -3.0 eV per formula unit
! **Fermi-level density of states**: 10.49 states/eV/cell
&SYSTEM
  ibrav = 0, nat = 12, ntyp = 3
/
ATOMIC_SPECIES
Tb 158.93 Tb.upf
Pm 145.00 Pm.upf
Rh 102.91 Rh.upf
CELL_PARAMETERS angstrom
-3.426 6.891 3.619
3.426 -6.891 3.619
3.426 6.891 -3.619
ATOMIC_POSITIONS angstrom
Tb 0.000 0.000 0.000
Tb 0.000 0.000 3.619
Pm 3.426 3.698 -1.809
Pm 3.426 0.000 1.809
Pm 0.000 3.193 1.809
Pm 3.426 3.698 1.809
Pm 0.000 6.891 1.809
Pm 0.000 3.193 5.428
Rh 4.894 1.883 0.000
Rh 1.468 5.008 0.000
Rh 1.958 1.883 3.619
Rh -1.468 5.008 3.619



No. 4
! ReH2S | Alexandria | PBE | relaxed; values from VASP
! **Crystal system**: cubic
! **E_tot**: -0.1684 Ha/atom
! **Fermi-level density of states**: 2.96 states/eV/cell
! **E above lowest polymorph**: 65.69 kJ/mol of atoms
&SYSTEM
  ibrav = 0, nat = 4, ntyp = 3
/
ATOMIC_SPECIES
Re 186.21 Re.upf
H 1.01 H.upf
S 32.06 S.upf
CELL_PARAMETERS angstrom
0.000 2.598 2.598
2.598 0.000 2.598
2.598 2.598 0.000
ATOMIC_POSITIONS angstrom
Re 0.000 0.000 0.000
H 1.299 1.299 1.299
H 3.897 3.897 3.897
S 2.598 2.598 2.598



No. 5
! Tb2ZrGa3Ir4 | Alexandria | PBE | relaxed; values from VASP
! **Crystal system**: tetragonal
! **E_tot**: -0.2565 Ha/atom
! **E_form**: -7.5 eV per formula unit
! **Fermi-level density of states**: 5.18 states/eV/cell
&SYSTEM
  ibrav = 0, nat = 10, ntyp = 4
/
ATOMIC_SPECIES
Tb 158.93 Tb.upf
Zr 91.22 Zr.upf
Ga 69.72 Ga.upf
Ir 192.22 Ir.upf
CELL_PARAMETERS angstrom
4.166 0.000 0.000
0.000 4.166 0.000
0.000 0.000 11.069
ATOMIC_POSITIONS angstrom
Tb 0.000 2.083 2.462
Tb 2.083 0.000 8.607
Zr 0.000 0.000 5.534
Ga 0.000 2.083 9.689
Ga 2.083 0.000 1.380
Ga 2.083 2.083 5.534
Ir 0.000 0.000 0.000
Ir 0.000 2.083 7.195
Ir 2.083 0.000 3.874
Ir 2.083 2.083 0.000



No. 6
! In2Cu2Pd | Alexandria | PBE | relaxed; values from VASP
! **Crystal system**: tetragonal
! **E_tot**: -0.1411 Ha/atom
! **E_form**: -0.3 eV per formula unit
! **Fermi-level density of states**: 2.60 states/eV/cell
! **E above lowest polymorph**: 3.99 kJ/mol of atoms
&SYSTEM
  ibrav = 0, nat = 10, ntyp = 3
/
ATOMIC_SPECIES
In 114.82 In.upf
Cu 63.55 Cu.upf
Pd 106.42 Pd.upf
CELL_PARAMETERS angstrom
7.078 0.000 0.000
0.000 7.078 0.000
0.000 0.000 3.355
ATOMIC_POSITIONS angstrom
In 1.243 2.296 0.000
In 2.296 5.835 0.000
In 4.782 1.243 0.000
In 5.835 4.782 0.000
Cu 0.880 4.419 1.678
Cu 2.659 0.880 1.678
Cu 4.419 6.198 1.678
Cu 6.198 2.659 1.678
Pd 0.000 0.000 1.678
Pd 3.539 3.539 1.678



No. 7
! CuPt2W | Alexandria | PBE | relaxed; values from VASP
! **Crystal system**: orthorhombic
! **E_tot**: -0.2716 Ha/atom
! **E_form**: -0.4 eV per formula unit
! **Fermi-level density of states**: 2.98 states/eV/cell
! **E above lowest polymorph**: 15.32 kJ/mol of atoms
&SYSTEM
  ibrav = 0, nat = 4, ntyp = 3
/
ATOMIC_SPECIES
Cu 63.55 Cu.upf
Pt 195.08 Pt.upf
W 183.84 W.upf
CELL_PARAMETERS angstrom
2.787 -3.910 0.000
2.787 3.910 0.000
0.000 0.000 2.743
ATOMIC_POSITIONS angstrom
Cu 0.000 0.000 0.000
Pt 1.393 1.955 1.372
Pt 1.393 -1.955 1.372
W 2.787 0.000 0.000



No. 8
! NiPb | Alexandria | PBE | relaxed; values from VASP
! **Crystal system**: monoclinic
! **E_tot**: -0.1673 Ha/atom
! **E_form**: 0.4 eV per formula unit
! **Fermi-level density of states**: 5.66 states/eV/cell
&SYSTEM
  ibrav = 0, nat = 6, ntyp = 2
/
ATOMIC_SPECIES
Ni 58.69 Ni.upf
Pb 207.20 Pb.upf
CELL_PARAMETERS angstrom
6.389 -1.682 0.000
6.389 1.682 0.000
-3.013 0.000 5.431
ATOMIC_POSITIONS angstrom
Ni 0.000 0.000 0.000
Ni 4.583 0.000 0.729
Ni 6.713 0.000 1.919
Pb 1.820 0.000 3.532
Pb 8.810 0.000 0.311
Pb 11.164 0.000 2.890



No. 9
! Th3PbCN | Alexandria | PBE | relaxed; values from VASP
! **Crystal system**: monoclinic
! **E_tot**: -0.2924 Ha/atom
! **Fermi-level density of states**: 5.90 states/eV/cell
&SYSTEM
  ibrav = 0, nat = 12, ntyp = 4
/
ATOMIC_SPECIES
Th 232.04 Th.upf
Pb 207.20 Pb.upf
C 12.01 C.upf
N 14.01 N.upf
CELL_PARAMETERS angstrom
8.332 0.000 0.000
0.000 4.026 0.000
-3.438 0.000 8.932
ATOMIC_POSITIONS angstrom
Th -0.932 1.007 3.227
Th -0.723 1.007 8.414
Th 1.007 3.020 5.730
Th 3.887 1.007 3.201
Th 5.617 3.020 0.518
Th 5.826 3.020 5.704
Pb 1.378 3.020 2.032
Pb 3.516 1.007 6.899
C -0.695 1.007 5.695
C 5.589 3.020 3.236
N 0.346 3.020 7.966
N 4.548 1.007 0.966



No. 10
! NaHfIn | Alexandria | PBE | relaxed; values from VASP
! **Crystal system**: monoclinic
! **E_tot**: -0.1691 Ha/atom
! **E_form**: 0.2 eV per formula unit
! **Fermi-level density of states**: 3.87 states/eV/cell
! **E above lowest polymorph**: 15.37 kJ/mol of atoms
&SYSTEM
  ibrav = 0, nat = 6, ntyp = 3
/
ATOMIC_SPECIES
Na 22.99 Na.upf
Hf 178.49 Hf.upf
In 114.82 In.upf
CELL_PARAMETERS angstrom
8.635 -1.620 0.000
8.635 1.620 0.000
-1.031 0.000 5.230
ATOMIC_POSITIONS angstrom
Na 0.000 0.000 0.000
Na 8.120 0.000 2.615
Hf 2.603 0.000 2.438
Hf 13.637 0.000 2.793
In 5.681 0.000 0.209
In 10.559 0.000 5.021



No. 11
! AlSb2Br | Alexandria | PBE | relaxed; values from VASP
! **Crystal system**: tetragonal
! **E_tot**: -0.1164 Ha/atom
! **Fermi-level density of states**: 1.90 states/eV/cell
! **E above lowest polymorph**: 43.20 kJ/mol of atoms
&SYSTEM
  ibrav = 0, nat = 4, ntyp = 3
/
ATOMIC_SPECIES
Al 26.98 Al.upf
Sb 121.76 Sb.upf
Br 79.90 Br.upf
CELL_PARAMETERS angstrom
5.450 0.000 0.000
0.000 5.450 0.000
0.000 0.000 3.367
ATOMIC_POSITIONS angstrom
Al 0.000 0.000 0.000
Sb 0.000 2.725 1.684
Sb 2.725 0.000 1.684
Br 2.725 2.725 0.000



Number 1: total magnetization 0.000 μB per atom. Number 2: total magnetization 0.000 μB per atom. Number 3: total magnetization 0.000 μB per atom. Number 4: total magnetization 0.000 μB per atom. Number 5: total magnetization 0.000 μB per atom. Number 6: total magnetization 0.000 μB per atom. Number 7: total magnetization 0.000 μB per atom. Number 8: total magnetization 0.000 μB per atom. Number 9: total magnetization 0.000 μB per atom. Number 10: total magnetization 0.000 μB per atom. Number 11: total magnetization 0.000 μB per atom.